Compound: MnBe2OsN
Source: Alexandria
Functional: PBE
Structure: optimized geometry

Output
As for the distance to the lowest polymorph of the same formula: 0 meV per atom. Its symmetry is P4/mmm (123). As for the formation energy without anion corrections: 1080 meV per atom.

Cell lengths 4.118, 3.376, 4.118 Å; angles 90.00, 90.00, 90.00 degrees
Last column: magnetic moment on the atom in μB.
Positions (direct):
Be: 0.000 0.000 0.500  -0.02
Be: 0.500 0.000 0.000  -0.03
Mn: 0.000 0.000 0.000  0.94
N: 0.000 0.500 0.000  -0.07
Os: 0.500 0.500 0.500  0.58



Compound: MnBe2OsN
Source: Alexandria
Functional: PBE
Structure: optimized geometry

Output
As for the distance to the lowest polymorph of the same formula: 752 meV per atom. Its symmetry is P4/mmm (123). As for the formation energy without anion corrections: 1832 meV per atom.

Cell lengths 4.200, 4.687, 4.200 Å; angles 90.00, 90.00, 90.00 degrees
Last column: magnetic moment on the atom in μB.
Positions (direct):
Os: 0.000 0.000 0.000  -0.26
Be: 0.500 0.000 0.000  -0.01
Be: 0.000 0.000 0.500  0.01
N: 0.500 0.500 0.500  -1.20
Mn: 0.000 0.500 0.000  3.61



Compound: Pa2MnBeN5
Source: Alexandria
Functional: PBE
Structure: optimized geometry

Output
Its symmetry is Cmc2_1 (36). As for the formation energy without anion corrections: -1106 meV per atom.

Cell lengths 3.237, 6.817, 9.120 Å; angles 90.00, 90.00, 103.73 degrees
Last column: magnetic moment on the atom in μB.
Positions (direct):
N: 0.704 0.409 0.155  -0.02
N: 0.499 0.998 0.782  0.03
N: 0.646 0.292 0.513  0.02
N: 0.695 0.390 0.868  -0.01
N: 0.948 0.897 0.526  0.06
N: 0.305 0.610 0.368  -0.01
N: 0.052 0.103 0.026  0.06
N: 0.354 0.708 0.013  0.02
N: 0.501 0.002 0.282  0.03
N: 0.296 0.591 0.655  -0.02
Mn: 0.798 0.597 0.511  1.96
Mn: 0.202 0.403 0.011  1.96
Be: 0.455 0.909 0.463  0.01
Be: 0.545 0.091 0.963  0.01
Pa: 0.871 0.742 0.806  0.00
Pa: 0.129 0.258 0.306  0.00
Pa: 0.878 0.756 0.200  0.00
Pa: 0.122 0.244 0.700  0.00



Compound: Pm2Mn2BeN6
Source: Alexandria
Functional: PBE
Structure: optimized geometry

Output
Its symmetry is R-3m (166). As for the formation energy without anion corrections: -441 meV per atom.

Cell lengths 5.467, 5.467, 5.997 Å; angles 62.88, 62.88, 60.00 degrees
Positions (direct):
N: 0.765 0.765 0.227
N: 0.758 0.235 0.773
N: 0.235 0.235 0.773
N: 0.242 0.765 0.227
N: 0.765 0.242 0.227
N: 0.235 0.758 0.773
Mn: 0.570 0.570 0.290
Mn: 0.430 0.430 0.710
Pm: 0.228 0.228 0.316
Pm: 0.772 0.772 0.684
Be: 0.000 0.000 0.000



Compound: Mn2BePtN
Source: Alexandria
Functional: PBE
Structure: optimized geometry

Output
Its symmetry is P4/mmm (123). As for the formation energy without anion corrections: -387 meV per atom.

Cell lengths 4.076, 4.076, 3.401 Å; angles 90.00, 90.00, 90.00 degrees
Last column: magnetic moment on the atom in μB.
Positions (direct):
Be: 0.000 0.000 0.500  -0.03
Pt: 0.500 0.500 0.500  0.30
Mn: 0.000 0.500 0.000  3.19
Mn: 0.500 0.000 0.000  3.19
N: 0.000 0.000 0.000  -0.04



Compound: Pu2MnBeN5
Source: Alexandria
Functional: PBE
Structure: optimized geometry

Output
Its symmetry is Cmc2_1 (36). As for the formation energy without anion corrections: -686 meV per atom.

Cell lengths 3.145, 6.617, 9.243 Å; angles 90.00, 90.00, 103.75 degrees
Last column: magnetic moment on the atom in μB.
Positions (direct):
N: 0.704 0.408 0.156  -0.08
N: 0.350 0.701 0.005  0.02
N: 0.503 0.005 0.285  -0.01
N: 0.650 0.299 0.505  0.02
N: 0.497 0.995 0.785  -0.01
N: 0.310 0.619 0.371  -0.07
N: 0.296 0.592 0.656  -0.08
N: 0.044 0.088 0.035  0.01
N: 0.690 0.381 0.871  -0.07
N: 0.956 0.912 0.535  0.01
Pu: 0.864 0.728 0.812  3.76
Pu: 0.888 0.775 0.188  -3.98
Pu: 0.112 0.225 0.688  -3.98
Pu: 0.136 0.272 0.312  3.76
Be: 0.543 0.087 0.962  0.01
Be: 0.457 0.913 0.462  0.01
Mn: 0.800 0.600 0.509  2.12
Mn: 0.200 0.400 0.009  2.12



Compound: PuMnBe2N4
Source: Alexandria
Functional: PBE
Structure: optimized geometry

Output
Its symmetry is Cmcm (63). As for the formation energy without anion corrections: -541 meV per atom.

Cell lengths 3.114, 6.416, 8.432 Å; angles 90.00, 90.00, 104.04 degrees
Last column: magnetic moment on the atom in μB.
Positions (direct):
N: 0.327 0.654 0.397  -0.13
N: 0.000 0.000 0.000  -0.10
N: 0.000 0.000 0.500  -0.10
N: 0.375 0.750 0.750  0.00
N: 0.673 0.346 0.897  -0.13
N: 0.673 0.346 0.603  -0.13
N: 0.327 0.654 0.103  -0.13
N: 0.625 0.250 0.250  0.00
Be: 0.412 0.823 0.950  0.01
Be: 0.588 0.177 0.050  0.01
Be: 0.412 0.823 0.550  0.01
Be: 0.588 0.177 0.450  0.01
Mn: 0.223 0.445 0.250  2.50
Mn: 0.777 0.555 0.750  2.50
Pu: 0.924 0.848 0.250  4.43
Pu: 0.076 0.152 0.750  4.43



Compound: MnBeSN2
Source: Alexandria
Functional: PBE
Structure: optimized geometry

Output
Its symmetry is P4/mmm (123). As for the formation energy without anion corrections: 596 meV per atom.

Cell lengths 3.489, 3.489, 5.167 Å; angles 90.00, 90.00, 90.00 degrees
Positions (direct):
N: 0.500 0.000 0.000
N: 0.000 0.500 0.000
Be: 0.500 0.500 0.500
S: 0.000 0.000 0.500
Mn: 0.000 0.000 0.000



Asked for calculated volume across the records above, the calculation gives 11.4; 16.5; 10.9; 12.0; 11.3; 10.4; 10.2; 12.6 Å³ per atom in order.